RbHg2Pd2 | GGA-PBE | optimized geometry

a b c (Å): 8.434 8.434 3.124
angles (deg): 90.00 90.00 90.00
Space group P4/mbm (No. 127)
Symmetry-distinct sites (fractional):
Rb 0.000 0.000 0.000
Hg 0.169 0.331 0.500
Pd 0.123 0.623 0.000

- DFT formation energy: -0.130 eV/atom
- Magnetization: 0.00 μB/cell
- Energy above the most stable polymorph in this dataset: 0 meV/atom
- ρ: 10.456 g/cm³